[1]
Co2Sb2O7: relaxed, PBE+U.

Cell: 4.963 5.145 4.963 Å, 90.06 95.21 89.94°
Fractional coordinates of all 11 atoms:
O 0.000 0.748 0.500
Co 0.729 0.500 0.729
O 0.500 0.748 0.000
O 0.500 0.252 0.000
O 0.000 0.000 0.000
O 0.500 0.239 0.500
Sb 0.271 0.000 0.729
O 0.000 0.252 0.500
O 0.500 0.761 0.500
Sb 0.729 0.000 0.271
Co 0.271 0.500 0.271

Results
For the density of states at the Fermi level, the calculation gives 0.76 states/eV/cell. As for the total energy: -5.890 eV/atom.

---

[2]
CoSbO4: relaxed, PBE+U.

Cell: 5.941 5.941 5.941 Å, 122.37 116.20 91.32°
Fractional coordinates of all 12 atoms:
Sb 0.500 0.000 0.500
O 0.236 0.750 0.014
O 0.217 0.761 0.457
Sb 0.000 0.000 0.000
O 0.196 0.239 0.957
Co 0.000 0.500 0.000
O 0.764 0.778 0.514
Co 0.000 0.000 0.500
O 0.804 0.761 0.043
O 0.236 0.222 0.486
O 0.764 0.250 0.986
O 0.783 0.239 0.543

Results
For the density of states at the Fermi level, the calculation gives 0.00 states/eV/cell. As for the total energy: -5.954 eV/atom.